## LaZrAs (GGA-PBE)

Data for a relaxed LaZrAs crystal.

Cell lengths 4.840, 4.840, 4.840 Å; angles 60.00, 60.00, 60.00 degrees
Site moments in Bohr magnetons follow the coordinates.
Sites, in units of the cell vectors:
As 0.750 0.750 0.750  0.00
Zr 0.500 0.500 0.500  0.35
La 0.000 0.000 0.000  0.09

Summary:
E_tot: -19.7 eV/cell
total magnetic moment: 0.67 μB/f.u.
SG: No. 216



## CdCu2Tc (GGA-PBE)

Data for a relaxed CdCu2Tc crystal.

Cell lengths 4.606, 4.606, 2.748 Å; angles 90.00, 90.00, 90.00 degrees
Sites, in units of the cell vectors:
Cd 0.000 0.500 0.500
Cu 0.000 0.000 0.000
Cu 0.500 0.500 0.000
Tc 0.500 0.000 0.500

Summary:
E_tot: -18.1 eV/cell
total magnetic moment: 0.00 μB/f.u.
SG: No. 123



## KUHg2S6 (GGA-PBE)

Data for a relaxed KUHg2S6 crystal.

Cell lengths 6.542, 6.536, 6.889 Å; angles 81.80, 97.70, 71.80 degrees
Sites, in units of the cell vectors:
K 0.811 0.817 0.491
U 0.334 0.352 0.999
Hg 0.498 0.409 0.540
Hg 0.021 0.001 0.993
S 0.666 0.355 0.250
S 0.304 0.058 0.262
S 0.055 0.620 0.159
S 0.329 0.679 0.741
S 0.607 0.059 0.840
S 0.037 0.311 0.740

Summary:
total magnetic moment: 0.00 μB/f.u.
SG: No. 1
E_form (uncorrected): -0.5704 eV per atom